No. 1
A plane-wave DFT calculation with PBE was carried out for crystalline Nd2ErCd4 at its relaxed geometry.

* symmetry: R-3m
* energy above the most stable polymorph in this dataset: 0 meV/atom
* N(E_F): 0.97 states/eV/atom
* raw total energy: -18.69 eV/f.u.

Lattice parameters (Å, degrees): 9.1681 9.1681 9.1681 33.51 33.51 33.51
Last column: nearest neighbours and their distance in Å.
Sites, in units of the cell vectors:
Nd1 0.2504 0.2504 0.2504  8 Cd 3.22-3.30
Nd2 0.7496 0.7496 0.7496  8 Cd 3.22-3.30
Er1 0.5000 0.5000 0.5000  8 Cd 3.25
Cd1 0.1231 0.1231 0.1231  4 Nd 3.22-3.30, 3 Er 3.25
Cd2 0.3745 0.3745 0.3745  4 Nd 3.22-3.24, 1 Er 3.25
Cd3 0.6255 0.6255 0.6255  4 Nd 3.22-3.24, 1 Er 3.25
Cd4 0.8769 0.8769 0.8769  4 Nd 3.22-3.30, 3 Er 3.25

---

No. 2
A plane-wave DFT calculation with PBE was carried out for crystalline Re3IrSe at its relaxed geometry.

* symmetry: Pm-3m
* energy above the most stable polymorph in this dataset: 456 meV/atom
* N(E_F): 1.30 states/eV/atom
* raw total energy: -37.99 eV/f.u.
* E_form (uncorrected): 2340 meV per atom

Lattice parameters (Å, degrees): 4.7464 4.7464 4.7464 90.00 90.00 90.00
Last column: nearest neighbours and their distance in Å.
Sites, in units of the cell vectors:
Re1 0.0000 0.0000 0.5000  2 Ir 2.37
Re2 0.0000 0.5000 0.0000  2 Ir 2.37
Re3 0.5000 0.0000 0.0000  2 Ir 2.37
Ir1 0.0000 0.0000 0.0000  6 Re 2.37
Se1 0.5000 0.5000 0.5000  12 Re 3.36

---

No. 3
A plane-wave DFT calculation with PBE was carried out for crystalline Ba3MgCd3 at its relaxed geometry.

* symmetry: C2/m
* N(E_F): 1.06 states/eV/atom
* raw total energy: -11.85 eV/f.u.

Lattice parameters (Å, degrees): 6.7906 6.7906 17.4762 108.79 108.79 44.94
Last column: nearest neighbours and their distance in Å.
Sites, in units of the cell vectors:
Ba1 0.0333 0.0333 0.3862  4 Mg 3.64-3.77, 7 Cd 3.65-3.95
Ba2 0.1043 0.1043 0.9213  7 Cd 3.66-3.83
Ba3 0.2552 0.2552 0.2354  6 Cd 3.65-3.77, 2 Mg 4.02
Ba4 0.7448 0.7448 0.7646  6 Cd 3.65-3.77, 2 Mg 4.02
Ba5 0.8957 0.8957 0.0787  7 Cd 3.66-3.83
Ba6 0.9667 0.9667 0.6138  4 Mg 3.64-3.77, 7 Cd 3.65-3.95
Mg1 0.2552 0.2552 0.5918  4 Cd 2.99-3.13
Mg2 0.7448 0.7448 0.4082  4 Cd 2.99-3.13
Cd1 0.3686 0.3686 0.4580  3 Mg 2.99-3.13, 1 Cd 3.11
Cd2 0.3985 0.3985 0.9200  2 Cd 3.05-3.06
Cd3 0.4471 0.4471 0.7609  1 Cd 3.05, 1 Mg 3.09
Cd4 0.5529 0.5529 0.2391  1 Cd 3.05, 1 Mg 3.09
Cd5 0.6015 0.6015 0.0800  2 Cd 3.05-3.06
Cd6 0.6314 0.6314 0.5420  3 Mg 2.99-3.13, 1 Cd 3.11

---

No. 4
A plane-wave DFT calculation with PBE was carried out for crystalline AlPt2Rh at its relaxed geometry.

* symmetry: I4/mmm
* N(E_F): 1.47 states/eV/atom
* raw total energy: -25.37 eV/f.u.

Lattice parameters (Å, degrees): 3.9209 3.9209 7.7226 90.00 90.00 90.00
Last column: nearest neighbours and their distance in Å.
Sites, in units of the cell vectors:
Al1 0.0000 0.0000 0.0000  8 Pt 2.75, 4 Rh 2.77
Al2 0.5000 0.5000 0.5000  8 Pt 2.75, 4 Rh 2.77
Pt1 0.0000 0.5000 0.2500  4 Al 2.75, 4 Rh 2.75, 4 Pt 2.77
Pt2 0.0000 0.5000 0.7500  4 Rh 2.75, 4 Al 2.75, 4 Pt 2.77
Pt3 0.5000 0.0000 0.2500  4 Al 2.75, 4 Rh 2.75, 4 Pt 2.77
Pt4 0.5000 0.0000 0.7500  4 Rh 2.75, 4 Al 2.75, 4 Pt 2.77
Rh1 0.0000 0.0000 0.5000  8 Pt 2.75, 4 Al 2.77
Rh2 0.5000 0.5000 0.0000  8 Pt 2.75, 4 Al 2.77

---

No. 5
A plane-wave DFT calculation with PBE was carried out for crystalline LaCN2O at its relaxed geometry.

* symmetry: P4/mmm
* N(E_F): 0.35 states/eV/atom
* raw total energy: -34.05 eV/f.u.
* E_form (uncorrected): 342 meV per atom

Lattice parameters (Å, degrees): 3.3788 3.3788 4.6522 90.00 90.00 90.00
Last column: nearest neighbours and their distance in Å.
Sites, in units of the cell vectors:
La1 0.0000 0.0000 0.0000  4 O 2.39
C1 0.5000 0.5000 0.5000  4 N 1.69
N1 0.0000 0.5000 0.5000  2 C 1.69
N2 0.5000 0.0000 0.5000  2 C 1.69
O1 0.5000 0.5000 0.0000  2 C 2.33, 4 La 2.39

---

No. 6
A plane-wave DFT calculation with PBE was carried out for crystalline TiTe2Ir at its relaxed geometry.

* symmetry: R-3m
* energy above the most stable polymorph in this dataset: 751 meV/atom
* N(E_F): 1.24 states/eV/atom
* raw total energy: -22.06 eV/f.u.
* E_form (uncorrected): 244 meV per atom

Lattice parameters (Å, degrees): 3.8853 3.8853 25.2172 90.00 90.00 120.00
Last column: nearest neighbours and their distance in Å.
Sites, in units of the cell vectors:
Ti1 0.0000 0.0000 0.0000  2 Te 2.77
Ti2 0.3333 0.6667 0.6667  2 Te 2.77
Ti3 0.6667 0.3333 0.3333  2 Te 2.77
Te1 0.0000 0.0000 0.1099  3 Ir 2.66, 1 Ti 2.77
Te2 0.0000 0.0000 0.8901  3 Ir 2.66, 1 Ti 2.77
Te3 0.3333 0.6667 0.5568  3 Ir 2.66, 1 Ti 2.77
Te4 0.3333 0.6667 0.7765  3 Ir 2.66, 1 Ti 2.77
Te5 0.6667 0.3333 0.2235  3 Ir 2.66, 1 Ti 2.77
Te6 0.6667 0.3333 0.4432  3 Ir 2.66, 1 Ti 2.77
Ir1 0.0000 0.0000 0.5000  6 Te 2.66
Ir2 0.3333 0.6667 0.1667  6 Te 2.66
Ir3 0.6667 0.3333 0.8333  6 Te 2.66

---

No. 7
A plane-wave DFT calculation with PBE was carried out for crystalline BaTlPdPt at its relaxed geometry.

* symmetry: R3m
* N(E_F): 0.55 states/eV/atom
* raw total energy: -17.45 eV/f.u.

Lattice parameters (Å, degrees): 4.7741 4.7741 16.3867 90.00 90.00 120.00
Last column: nearest neighbours and their distance in Å.
Sites, in units of the cell vectors:
Ba1 0.0000 0.0000 0.0000  1 Pd 3.18, 4 Pt 3.26-3.53
Ba2 0.3333 0.6667 0.6667  1 Pd 3.18, 4 Pt 3.26-3.53
Ba3 0.6667 0.3333 0.3333  1 Pd 3.18, 4 Pt 3.26-3.53
Tl1 0.0000 0.0000 0.4994  3 Pd 2.79, 3 Pt 2.81
Tl2 0.3333 0.6667 0.1661  3 Pd 2.79, 3 Pt 2.81
Tl3 0.6667 0.3333 0.8328  3 Pd 2.79, 3 Pt 2.81
Pd1 0.0000 0.0000 0.1940  3 Tl 2.79, 3 Pt 2.93
Pd2 0.3333 0.6667 0.8607  3 Tl 2.79, 3 Pt 2.93
Pd3 0.6667 0.3333 0.5273  3 Tl 2.79, 3 Pt 2.93
Pt1 0.0000 0.0000 0.8009  3 Tl 2.81, 3 Pd 2.93
Pt2 0.3333 0.6667 0.4675  3 Tl 2.81, 3 Pd 2.93
Pt3 0.6667 0.3333 0.1342  3 Tl 2.81, 3 Pd 2.93

---

No. 8
A plane-wave DFT calculation with PBE was carried out for crystalline LiSiMo at its relaxed geometry.

* symmetry: F-43m
* energy above the most stable polymorph in this dataset: 756 meV/atom
* N(E_F): 0.62 states/eV/atom
* raw total energy: -16.44 eV/f.u.
* E_form (uncorrected): 576 meV per atom

Lattice parameters (Å, degrees): 5.8490 5.8490 5.8490 90.00 90.00 90.00
Last column: nearest neighbours and their distance in Å.
Sites, in units of the cell vectors:
Li1 0.0000 0.0000 0.0000  4 Mo 2.53
Li2 0.0000 0.5000 0.5000  4 Mo 2.53
Li3 0.5000 0.0000 0.5000  4 Mo 2.53
Li4 0.5000 0.5000 0.0000  4 Mo 2.53
Si1 0.0000 0.0000 0.5000  4 Mo 2.53
Si2 0.0000 0.5000 0.0000  4 Mo 2.53
Si3 0.5000 0.0000 0.0000  4 Mo 2.53
Si4 0.5000 0.5000 0.5000  4 Mo 2.53
Mo1 0.2500 0.2500 0.7500  4 Li 2.53, 4 Si 2.53
Mo2 0.2500 0.7500 0.2500  4 Li 2.53, 4 Si 2.53
Mo3 0.7500 0.2500 0.2500  4 Li 2.53, 4 Si 2.53
Mo4 0.7500 0.7500 0.7500  4 Li 2.53, 4 Si 2.53